VASP calculation (meta-GGA SCAN) on a PBEsol-optimized structure of Co3RhS.

## Properties
The uncorrected formation energy is 115 kJ per mole of atoms. The value obtained for the density of states at the Fermi level is 1.4 states/eV/cell. The value obtained for the total magnetic moment is 7.9 μB/cell.

The structure in CIF format:
```
data_Co3RhS
_chemical_formula_sum 'Co3 Rh1 S1'
_cell_length_a 4.463
_cell_length_b 4.463
_cell_length_c 4.463
_cell_angle_alpha 90.00
_cell_angle_beta 90.00
_cell_angle_gamma 90.00
_symmetry_space_group_name_H-M 'P m -3 m'
_symmetry_Int_Tables_number 221
_symmetry_space_group_name_Hall '-P 4 2 3'
loop_
_atom_site_label
_atom_site_type_symbol
_atom_site_fract_x
_atom_site_fract_y
_atom_site_fract_z
_atom_site_occupancy
Co1 Co 0.000 0.000 0.500 1
Rh1 Rh 0.000 0.000 0.000 1
S1 S 0.500 0.500 0.500 1
```